(1)
DyHo2Sn2: relaxed, PBE.

Values from the calculation:
The density of states at the Fermi level is 0.69 states/eV per atom. The value obtained for the final energy is -0.18038 Ha/atom. The formation energy is -0.556 eV/atom. The value obtained for the size of the total moment is 0.00 μB/cell. The value obtained for the mass density is 8.93 g/cm³.

Cell: 5.189 5.189 6.545 Å, 66.64 66.64 59.99°
Atoms (fractional coordinates):
Sn 0.592 0.092 0.224
Sn 0.408 0.908 0.776
Ho 0.792 0.292 0.625
Ho 0.208 0.708 0.375
Dy 0.000 0.500 0.000


(2)
Pa2FeIr: relaxed, PBE.

Values from the calculation:
The density of states at the Fermi level is 1.13 states/eV per atom. The value obtained for the final energy is -0.32853 Ha/atom. The formation energy is 0.139 eV/atom. The value obtained for the energy above the most stable polymorph in this dataset is 374 meV/atom. The value obtained for the size of the total moment is 0.80 μB/cell. The value obtained for the mass density is 15.28 g/cm³.

Cell: 3.061 3.061 9.674 Å, 80.90 80.90 60.00°
Atoms (fractional coordinates):
Ir 0.500 0.500 0.500
Pa 0.083 0.083 0.752
Fe 0.000 0.000 0.000
Pa 0.917 0.917 0.248


(3)
HfSnIrO6: relaxed, PBE.

Values from the calculation:
The density of states at the Fermi level is 0.58 states/eV per atom. Its uncorrected formation energy is -177.1 kJ/mol of atoms. The value obtained for the final energy is -0.28209 Ha/atom. The value obtained for the size of the total moment is 1.89 μB/cell. The value obtained for the mass density is 8.98 g/cm³.

Cell: 5.177 5.177 9.331 Å, 90.00 90.00 120.00°
Atoms (fractional coordinates):
Ir 0.667 0.333 0.250
Hf 0.333 0.667 0.250
Sn 0.000 0.000 0.500
O 0.666 0.007 0.372
Ir 0.333 0.667 0.750
Sn 0.000 0.000 0.000
O 0.658 0.666 0.628
O 0.334 0.993 0.628
O 0.007 0.666 0.872
O 0.342 0.334 0.372
O 0.007 0.342 0.628
O 0.658 0.993 0.872
O 0.334 0.342 0.872
O 0.342 0.007 0.128
O 0.993 0.658 0.372
O 0.666 0.658 0.128
O 0.993 0.334 0.128
Hf 0.667 0.333 0.750


(4)
NaDyEr: relaxed, PBE.

Values from the calculation:
The density of states at the Fermi level is 1.28 states/eV per atom. The value obtained for the final energy is -0.11687 Ha/atom. The formation energy is 0.314 eV/atom. The value obtained for the energy above the most stable polymorph in this dataset is 168 meV/atom. The value obtained for the size of the total moment is 0.00 μB/cell. The value obtained for the mass density is 5.96 g/cm³.

Cell: 4.124 4.124 11.556 Å, 90.00 90.00 90.00°
Atoms (fractional coordinates):
Er 0.000 0.500 0.263
Dy 0.000 0.500 0.575
Na 0.000 0.000 0.000
Er 0.500 0.000 0.737
Dy 0.500 0.000 0.425
Na 0.500 0.500 0.000


(5)
Sm2BeC: relaxed, PBE.

Values from the calculation:
The density of states at the Fermi level is 0.70 states/eV per atom. The value obtained for the final energy is -0.21102 Ha/atom. The formation energy is -0.145 eV/atom. The value obtained for the energy above the most stable polymorph in this dataset is 0 meV/atom. The value obtained for the size of the total moment is 0.00 μB/cell. The value obtained for the mass density is 6.35 g/cm³.

Cell: 3.444 7.270 7.168 Å, 104.70 103.90 90.00°
Atoms (fractional coordinates):
C 0.000 0.250 0.000
Be 0.500 0.750 0.000
Sm 0.129 0.065 0.258
Sm 0.871 0.935 0.742
Sm 0.871 0.435 0.742
C 0.000 0.750 0.000
Be 0.500 0.250 0.000
Sm 0.129 0.565 0.258


(6)
Ac7Pr12In: relaxed, PBE.

Values from the calculation:
The density of states at the Fermi level is 1.73 states/eV per atom. The value obtained for the final energy is -0.15806 Ha/atom. The formation energy is 0.142 eV/atom. The value obtained for the size of the total moment is 0.00 μB/cell. The value obtained for the mass density is 7.10 g/cm³.

Cell: 9.258 9.259 9.258 Å, 89.55 89.56 89.55°
Atoms (fractional coordinates):
Ac 0.378 0.231 0.792
Pr 0.103 0.995 0.672
Pr 0.537 0.874 0.659
Ac 0.792 0.378 0.231
Ac 0.769 0.208 0.622
In 0.000 0.000 0.000
Ac 0.231 0.792 0.378
Ac 0.622 0.769 0.208
Pr 0.005 0.328 0.897
Pr 0.341 0.463 0.126
Pr 0.463 0.126 0.341
Pr 0.659 0.537 0.874
Pr 0.874 0.659 0.537
Pr 0.897 0.005 0.328
Pr 0.995 0.672 0.103
Ac 0.500 0.500 0.500
Pr 0.328 0.897 0.005
Ac 0.208 0.622 0.769
Pr 0.126 0.341 0.463
Pr 0.672 0.103 0.995


(7)
TlZnH3: relaxed, PBE.

Values from the calculation:
The density of states at the Fermi level is 0.32 states/eV per atom. The value obtained for the final energy is -0.07585 Ha/atom. The value obtained for the energy above the most stable polymorph in this dataset is 372 meV/atom. The value obtained for the size of the total moment is 0.00 μB/cell. The value obtained for the mass density is 6.61 g/cm³.

Cell: 4.092 4.092 4.092 Å, 90.00 90.00 90.00°
Atoms (fractional coordinates):
Zn 0.500 0.500 0.500
H 0.000 0.500 0.000
Tl 0.000 0.000 0.000
H 0.500 0.000 0.000
H 0.000 0.000 0.500


(8)
HIrOs2Rh: relaxed, PBE.

Values from the calculation:
The density of states at the Fermi level is 0.78 states/eV per atom. The value obtained for the final energy is -0.30076 Ha/atom. The value obtained for the size of the total moment is 0.00 μB/cell. The value obtained for the mass density is 18.84 g/cm³.

Cell: 3.895 3.895 3.931 Å, 90.00 90.00 90.00°
Atoms (fractional coordinates):
Os 0.500 0.000 0.000
H 0.000 0.000 0.000
Rh 0.000 0.000 0.500
Os 0.000 0.500 0.000
Ir 0.500 0.500 0.500


(9)
AsIrSe2: relaxed, PBE.

Values from the calculation:
The density of states at the Fermi level is 0.55 states/eV per atom. Its uncorrected formation energy is 21.7 kJ/mol of atoms. The value obtained for the final energy is -0.17990 Ha/atom. The value obtained for the size of the total moment is 0.00 μB/cell. The value obtained for the mass density is 8.28 g/cm³.

Cell: 2.879 2.879 10.281 Å, 90.00 90.00 90.16°
Atoms (fractional coordinates):
Se 0.000 0.000 0.925
Se 0.500 0.500 0.267
Ir 0.500 0.500 0.732
As 0.000 0.000 0.577


(10)
ScZnTe2: relaxed, PBE.

Values from the calculation:
The density of states at the Fermi level is 0.32 states/eV per atom. Its uncorrected formation energy is -73.9 kJ/mol of atoms. The value obtained for the final energy is -0.15574 Ha/atom. The value obtained for the size of the total moment is 0.00 μB/cell. The value obtained for the mass density is 6.16 g/cm³.

Cell: 4.121 3.943 6.376 Å, 71.99 90.00 90.00°
Atoms (fractional coordinates):
Te 0.500 0.236 0.403
Sc 0.500 0.552 0.771
Zn 0.000 0.743 0.389
Te 0.000 0.969 0.937


(11)
NaMg4Tl6: relaxed, PBE.

Values from the calculation:
The density of states at the Fermi level is 0.46 states/eV per atom. The value obtained for the final energy is -0.07277 Ha/atom. The formation energy is 0.010 eV/atom. The value obtained for the energy above the most stable polymorph in this dataset is 26 meV/atom. The value obtained for the size of the total moment is 0.00 μB/cell. The value obtained for the mass density is 7.30 g/cm³.

Cell: 3.818 9.625 9.625 Å, 120.00 90.00 90.00°
Atoms (fractional coordinates):
Tl 0.000 0.939 0.470
Tl 0.500 0.634 0.817
Tl 0.500 0.183 0.817
Tl 0.000 0.530 0.061
Mg 0.000 0.333 0.667
Mg 0.500 0.812 0.188
Tl 0.000 0.530 0.470
Mg 0.500 0.376 0.188
Na 0.000 0.000 0.000
Mg 0.500 0.812 0.624
Tl 0.500 0.183 0.366


(12)
AlBTeC2: relaxed, PBE.

Values from the calculation:
The density of states at the Fermi level is 0.52 states/eV per atom. Its uncorrected formation energy is 200.6 kJ/mol of atoms. The value obtained for the final energy is -0.15887 Ha/atom. The value obtained for the energy above the most stable polymorph in this dataset is 0 meV/atom. The value obtained for the size of the total moment is 0.00 μB/cell. The value obtained for the mass density is 4.50 g/cm³.

Cell: 3.969 4.438 3.969 Å, 90.00 90.00 90.00°
Atoms (fractional coordinates):
B 0.000 0.500 0.000
Al 0.000 0.000 0.000
C 0.000 0.000 0.500
C 0.500 0.000 0.000
Te 0.500 0.500 0.500


(13)
BeRhAu2: relaxed, PBE.

Values from the calculation:
The density of states at the Fermi level is 0.83 states/eV per atom. The value obtained for the final energy is -0.16277 Ha/atom. The formation energy is -0.021 eV/atom. The value obtained for the size of the total moment is 0.00 μB/cell. The value obtained for the mass density is 14.27 g/cm³.

Cell: 5.179 5.179 5.179 Å, 146.32 129.44 62.13°
Atoms (fractional coordinates):
Au 0.543 0.543 0.000
Rh 0.250 0.750 0.500
Be 0.750 0.250 0.500
Au 0.957 0.957 0.000


(14)
MnTl2Cl: relaxed, PBE.

Values from the calculation:
The density of states at the Fermi level is 0.60 states/eV per atom. Its uncorrected formation energy is 0.6 kJ/mol of atoms. The value obtained for the final energy is -0.14446 Ha/atom. The value obtained for the energy above the most stable polymorph in this dataset is 124 meV/atom. The value obtained for the size of the total moment is 4.25 μB/cell. The value obtained for the mass density is 8.31 g/cm³.

Cell: 4.809 3.597 6.042 Å, 72.68 90.00 90.00°
Atoms (fractional coordinates):
Tl 0.000 0.958 0.959
Mn 0.500 0.566 0.745
Cl 0.000 0.679 0.516
Tl 0.500 0.297 0.280


(15)
CoMo2: relaxed, PBE.

Values from the calculation:
The density of states at the Fermi level is 0.85 states/eV per atom. The value obtained for the final energy is -0.34194 Ha/atom. The formation energy is 0.285 eV/atom. The value obtained for the size of the total moment is 0.00 μB/cell. The value obtained for the mass density is 9.65 g/cm³.

Cell: 12.358 12.358 12.358 Å, 167.65 167.65 17.50°
Atoms (fractional coordinates):
Co 0.000 0.000 0.000
Mo 0.575 0.575 0.000
Co 0.750 0.250 0.500
Mo 0.325 0.825 0.500
Mo 0.175 0.675 0.500
Mo 0.425 0.425 0.000


(16)
SrY2Ge: relaxed, PBE.

Values from the calculation:
The density of states at the Fermi level is 0.87 states/eV per atom. The value obtained for the final energy is -0.18062 Ha/atom. The formation energy is -0.108 eV/atom. The value obtained for the energy above the most stable polymorph in this dataset is 0 meV/atom. The value obtained for the size of the total moment is 0.00 μB/cell. The value obtained for the mass density is 4.12 g/cm³.

Cell: 9.049 9.049 7.214 Å, 51.16 51.16 90.00°
Atoms (fractional coordinates):
Y 0.375 0.452 0.750
Ge 0.250 0.750 0.500
Sr 0.750 0.250 0.500
Y 0.548 0.125 0.250
Ge 0.500 0.500 0.000
Y 0.202 0.625 0.250
Y 0.875 0.798 0.750
Sr 0.000 0.000 0.000


(17)
LiPr2P3Pt12: relaxed, PBE.

Values from the calculation:
The density of states at the Fermi level is 0.29 states/eV per atom. The value obtained for the final energy is -0.22217 Ha/atom. The formation energy is -0.479 eV/atom. The value obtained for the size of the total moment is 0.00 μB/cell. The value obtained for the mass density is 12.96 g/cm³.

Cell: 7.575 7.575 7.575 Å, 66.25 66.25 66.25°
Atoms (fractional coordinates):
Pt 0.123 0.123 0.638
Pt 0.877 0.877 0.362
Li 0.000 0.000 0.000
Pt 0.103 0.658 0.658
Pr 0.384 0.384 0.384
Pr 0.616 0.616 0.616
Pt 0.897 0.342 0.342
Pt 0.638 0.123 0.123
P 0.500 0.000 0.000
Pt 0.362 0.877 0.877
Pt 0.342 0.897 0.342
P 0.000 0.500 0.000
Pt 0.123 0.638 0.123
Pt 0.658 0.658 0.103
Pt 0.342 0.342 0.897
Pt 0.658 0.103 0.658
P 0.000 0.000 0.500
Pt 0.877 0.362 0.877


(18)
Tb8Nd2Y: relaxed, PBE.

Values from the calculation:
The density of states at the Fermi level is 1.50 states/eV per atom. The value obtained for the final energy is -0.17295 Ha/atom. The formation energy is 0.116 eV/atom. The value obtained for the energy above the most stable polymorph in this dataset is 0 meV/atom. The value obtained for the size of the total moment is 0.00 μB/cell. The value obtained for the mass density is 7.50 g/cm³.

Cell: 5.586 8.219 9.377 Å, 115.99 107.33 90.00°
Atoms (fractional coordinates):
Tb 0.636 0.430 0.273
Tb 0.364 0.157 0.727
Tb 0.364 0.570 0.727
Y 0.500 0.000 0.000
Tb 0.159 0.159 0.318
Tb 0.000 0.294 0.000
Tb 0.636 0.843 0.273
Tb 0.841 0.841 0.682
Nd 0.798 0.298 0.596
Tb 0.000 0.706 0.000
Nd 0.202 0.702 0.404


(19)
PmPr3Y2Te6: relaxed, PBE.

Values from the calculation:
The density of states at the Fermi level is 0.54 states/eV per atom. Its uncorrected formation energy is -134.6 kJ/mol of atoms. The value obtained for the final energy is -0.20704 Ha/atom. The value obtained for the size of the total moment is 0.00 μB/cell. The value obtained for the mass density is 6.64 g/cm³.

Cell: 4.428 9.013 10.006 Å, 103.56 102.78 90.00°
Atoms (fractional coordinates):
Y 0.165 0.331 0.331
Pr 0.163 0.833 0.327
Te 0.996 0.751 0.991
Te 0.004 0.249 0.009
Pr 0.837 0.167 0.673
Te 0.667 0.093 0.335
Te 0.670 0.576 0.341
Te 0.333 0.907 0.665
Pr 0.500 0.500 0.000
Te 0.330 0.424 0.659
Y 0.835 0.669 0.669
Pm 0.500 0.000 0.000


(20)
KZnPb: relaxed, PBE.

Values from the calculation:
The density of states at the Fermi level is 0.34 states/eV per atom. The value obtained for the final energy is -0.07550 Ha/atom. The formation energy is -0.028 eV/atom. The value obtained for the energy above the most stable polymorph in this dataset is 8 meV/atom. The value obtained for the size of the total moment is 0.00 μB/cell. The value obtained for the mass density is 5.68 g/cm³.

Cell: 5.134 5.134 3.993 Å, 90.00 90.00 120.00°
Atoms (fractional coordinates):
Zn 0.333 0.667 0.500
Pb 0.667 0.333 0.500
K 0.000 0.000 0.000